Computed, not measured: Zr2MoIr after structural relaxation at the PBE level of DFT.

Unit cell a=5.5544 b=5.5544 c=5.5544 alpha=138.56 beta=138.56 gamma=60.05
Last column: nearest neighbours and their distance in Å.
Element x y z (fractional)
Zr (0.2500, 0.7500, 0.5000)  4 Mo 2.78, 4 Zr 3.11, 4 Ir 3.11
Zr (0.0000, 0.0000, 0.0000)  4 Ir 2.78, 4 Mo 3.11, 4 Zr 3.11
Ir (0.5000, 0.5000, 0.0000)  8 Zr 2.78-3.11, 4 Mo 3.11
Mo (0.7500, 0.2500, 0.5000)  8 Zr 2.78-3.11, 4 Ir 3.11

Summary:
Energy of formation in meV/atom: -247
SG: I-4m2

Computed, not measured: ZrMoIr after structural relaxation at the PBE level of DFT.

Unit cell a=5.2731 b=5.2731 c=5.2731 alpha=143.18 beta=143.18 gamma=53.05
Last column: nearest neighbours and their distance in Å.
Element x y z (fractional)
Ir (0.0060, 0.0060, 0.0000)  4 Mo 2.76, 4 Zr 2.85
Mo (0.6591, 0.6591, 0.0000)  4 Ir 2.76, 5 Zr 2.88-3.06
Zr (0.3350, 0.3350, 0.0000)  5 Ir 2.85-3.10, 5 Mo 2.88-3.06

Summary:
Energy of formation in meV/atom: -160
Energy above the most stable polymorph in this dataset in meV/atom: 173.1
SG: I4mm

Number 1: E -9.444 eV/atom. Number 2: E -9.573 eV/atom.